{"formula": "GdPuSnPd", "functional": "PBE", "state": "optimized geometry", "lattice": [[0.000, 3.686, 3.686], [3.686, 0.000, 3.686], [3.686, 3.686, 0.000]], "species": ["Gd", "Pu", "Sn", "Pd"], "fractional_positions": [[0.000, 0.000, 0.000], [0.500, 0.500, 0.500], [0.750, 0.750, 0.750], [0.250, 0.250, 0.250]], "vol_a3_per_atom": 25.05, "space_group": "F-43m (216)", "rho_g_cm3": 10.4, "ef_ev_per_atom": -0.48}